Computed, not measured: BaYC3 after structural relaxation at the GGA-PBE level of DFT. Values from VASP.

calculated formation energy = 13.18 eV/f.u.
DOS(E_F) = 0.73 states/eV per atom
symmetry = No. 221

The structure in Quantum ESPRESSO input format:
```
&SYSTEM
  ibrav = 0, nat = 5, ntyp = 3
/
ATOMIC_SPECIES
C 12.01 C.upf
Ba 137.33 Ba.upf
Y 88.91 Y.upf
CELL_PARAMETERS angstrom
-1.861 2.815 3.040
-3.886 -0.031 -2.350
-1.436 -3.565 2.421
ATOMIC_POSITIONS angstrom
C -0.931 1.407 1.520
Ba 0.000 0.000 0.000
Y -3.592 -0.391 1.555
C -0.718 -1.782 1.210
C -1.943 -0.016 -1.175
```